1.
YCr2Re: relaxed, PBE-GGA.

Cell: 5.3525 5.3525 5.3525 Å, 146.73 127.94 63.19°
Atoms (fractional coordinates):
Cr  0.9763  0.9763  0.0000
Cr  0.7462  0.2462  0.5000
Re  0.5250  0.5250  0.0000
Y  0.2524  0.7524  0.5000

## Properties
Energy of formation (eV/atom): 0.47



2.
YCrRe: relaxed, PBE-GGA.

Cell: 4.6293 4.6293 4.6293 Å, 60.00 60.00 60.00°
Atoms (fractional coordinates):
Cr  0.0000  0.0000  0.0000
Re  0.5000  0.5000  0.5000
Y  0.2500  0.2500  0.2500

## Properties
Energy of formation (eV/atom): 1.67